[1]
Density functional theory data (PBE) for crystalline Pm4AlIr at its relaxed geometry.

## Properties
Space group = F-43m

abc: 9.801 9.801 9.801
angles: 60.00 60.00 60.00
Fractional positions:
Pm 0.188 0.188 0.812
Pm 0.188 0.812 0.188
Pm 0.188 0.812 0.812
Pm 0.399 0.399 0.399
Pm 0.399 0.399 0.802
Pm 0.399 0.802 0.399
Pm 0.555 0.555 0.945
Pm 0.555 0.945 0.555
Pm 0.555 0.945 0.945
Pm 0.802 0.399 0.399
Pm 0.812 0.188 0.188
Pm 0.812 0.188 0.812
Pm 0.812 0.812 0.188
Pm 0.945 0.555 0.555
Pm 0.945 0.555 0.945
Pm 0.945 0.945 0.555
Al 0.175 0.175 0.175
Al 0.175 0.175 0.475
Al 0.175 0.475 0.175
Al 0.475 0.175 0.175
Ir 0.174 0.609 0.609
Ir 0.609 0.174 0.609
Ir 0.609 0.609 0.174
Ir 0.609 0.609 0.609



[2]
Density functional theory data (PBE) for crystalline PmAl2Ir at its relaxed geometry.

## Properties
Space group = Fm-3m

abc: 4.674 4.674 4.674
angles: 60.00 60.00 60.00
Fractional positions:
Pm 0.000 0.000 0.000
Al 0.250 0.250 0.250
Al 0.750 0.750 0.750
Ir 0.500 0.500 0.500



[3]
Density functional theory data (PBE) for crystalline PmAlIr at its relaxed geometry.

## Properties
Space group = F-43m

abc: 4.618 4.618 4.618
angles: 60.00 60.00 60.00
Fractional positions:
Pm 0.000 0.000 0.000
Al 0.500 0.500 0.500
Ir 0.250 0.250 0.250



[4]
Density functional theory data (PBE) for crystalline PmAlIr at its relaxed geometry.

## Properties
Space group = I4mm

abc: 6.200 6.200 6.200
angles: 150.04 150.04 42.88
Fractional positions:
Pm 0.000 0.000 0.000
Al 0.288 0.288 0.000
Ir 0.681 0.681 0.000



no.,offset from the most stable computed form (meV per atom),energy of formation from the pure elements (eV/atom)
1,0.0,-0.4550
2,340.5,-0.4608
3,305.5,-0.5257
4,238.9,-0.5923